Material: Ac4Te3Pb
Method: DFT, PBE-GGA
State: relaxed

Output
Fermi-level density of states in states/eV/f.u.: 3.6
Raw formation energy in eV per atom: -1.3009
Magnetic moment in Bohr magnetons per cell: 0.0
Relative energy among the computed polymorphs in eV per formula unit: 0.11
Space group: Cmmm
Volume in Å³ per cell: 309.4
Total energy in eV per formula unit: -40.0

Lattice parameters (Å, degrees): 4.807 8.269 8.269 109.74 90.00 90.00
Fractional coordinates of all 8 atoms:
1 Te 0.500 0.500 0.500
2 Te 0.000 0.500 0.000
3 Ac 0.500 0.247 0.753
4 Te 0.000 0.000 0.500
5 Ac 0.500 0.753 0.247
6 Ac 0.000 0.244 0.244
7 Ac 0.000 0.756 0.756
8 Pb 0.500 0.000 0.000